Tb2PrOsN4: relaxed, GGA-PBE.

The value obtained for the uncorrected formation energy is -930 meV/atom. The calculation puts the volume at 240.0 Å³/cell. As for the final energy: -132.02 eV for the cell shown. As for the symmetry: Cmcm.

Cell lengths 6.150, 6.150, 11.746 Å; angles 90.00, 90.00, 147.29 degrees
Fractional coordinates of all 16 atoms:
Tb1 0.131 0.869 0.541
Tb2 0.131 0.869 0.959
Tb3 0.869 0.131 0.041
Tb4 0.869 0.131 0.459
Pr1 0.382 0.618 0.750
Pr2 0.618 0.382 0.250
Os1 0.355 0.645 0.250
Os2 0.645 0.355 0.750
N1 0.063 0.937 0.750
N2 0.233 0.767 0.128
N3 0.233 0.767 0.372
N4 0.500 0.500 0.000
N5 0.500 0.500 0.500
N6 0.767 0.233 0.628
N7 0.767 0.233 0.872
N8 0.937 0.063 0.250